1.
Entry from Alexandria via LeMat-Bulk: Li7GaAg3 after structural relaxation (PBE).

Cell and atoms, written as CIF:
```
data_Li7GaAg3
_space_group_name_H-M_alt 'C m c m'
_space_group_IT_number 63
_space_group_name_Hall '-C 2c 2'
_cell_length_a 2.8315
_cell_length_b 21.4232
_cell_length_c 12.5524
_cell_angle_alpha 90.00
_cell_angle_beta 90.00
_cell_angle_gamma 90.00
loop_
_atom_site_label
_atom_site_type_symbol
_atom_site_fract_x
_atom_site_fract_y
_atom_site_fract_z
Li1 Li 0.0000 0.0480 0.0797
Li2 Li 0.0000 0.0819 0.6332
Li3 Li 0.0000 0.1414 0.2500
Li4 Li 0.0000 0.2371 0.6117
Ga1 Ga 0.0000 0.4896 0.7500
Ag1 Ag 0.0000 0.3329 0.2500
Ag2 Ag 0.0000 0.3480 0.5219
```

**DFT formation energy**: -0.154 eV per atom



2.
Entry from Alexandria via LeMat-Bulk: Li3Ga4Ag4 after structural relaxation (PBE).

Cell and atoms, written as CIF:
```
data_Li3Ga4Ag4
_space_group_name_H-M_alt 'C 1 2/m 1'
_space_group_IT_number 12
_space_group_name_Hall '-C 2y'
_cell_length_a 27.8826
_cell_length_b 2.8989
_cell_length_c 4.5951
_cell_angle_alpha 90.00
_cell_angle_beta 99.28
_cell_angle_gamma 90.00
loop_
_atom_site_label
_atom_site_type_symbol
_atom_site_fract_x
_atom_site_fract_y
_atom_site_fract_z
Li1 Li 0.0000 0.0000 0.0000
Li2 Li 0.1474 0.5000 0.6478
Ga1 Ga 0.0884 0.5000 0.0884
Ga2 Ga 0.2344 0.0000 0.7345
Ag1 Ag 0.0570 0.0000 0.5572
Ag2 Ag 0.1749 0.0000 0.1750
```

**Polymorph energy (0 for the lowest one)**: 0.10 eV/f.u.
**DFT formation energy**: -0.172 eV per atom



Question: Among the records above, which one has the highest DFT formation energy?
Answer: Li7GaAg3